This record from Alexandria describes a relaxed DyEr8Pb2 crystal. The functional is PBE.

Lattice parameters (Å, degrees): 16.426 6.646 6.217 90.00 93.32 90.00
Space group C2/m (No. 12)
Inequivalent atoms, fractional coordinates:
Dy (0.000, 0.000, 0.000) [2 per cell]
Er (0.082, 0.500, 0.880) [4 per cell]
Er (0.096, 0.253, 0.396) [8 per cell]
Er (0.208, 0.000, 0.845) [4 per cell]
Pb (0.243, 0.500, 0.657) [4 per cell]

calculated volume: 30.80 Å³ per atom
ρ: 9.386 g/cm3
energy relative to the elements: -0.063 eV per atom
total magnetization: 0.00 μB/f.u.